Sc2HRu: optimized geometry, PBE.

Structure (POSCAR):
```
Sc2HRu
1.0
3.0541 0.0000 0.0000
0.0000 3.2546 0.2195
0.0000 -0.4651 6.4177
Ru H Sc
1 1 2
Cartesian
1.5271 -0.2326 3.2088
1.5271 1.6273 0.1097
0.0000 1.2872 4.9000
0.0000 1.5023 1.7371
```

Computed properties:
Offset from the most stable computed form = 0.0 meV per atom
Magnetic moment = 0.00 μB per formula unit